The following is a DFT calculation (GGA-PBEsol) of RbCaBe2F after structural relaxation.

a b c (Å): 4.694 5.554 5.554
angles (deg): 90.00 90.00 90.00
Fractional coordinates of all 5 atoms:
Be1 0.000 0.500 0.000
Be2 0.000 0.000 0.500
Ca1 0.500 0.500 0.500
Rb1 0.000 0.000 0.000
F1 0.500 0.000 0.000

total magnetization	0.0	μB per cell
space group	P4/mmm, No. 123
raw formation energy	2.69	eV per formula unit